No. 1
! Er8Sb2Pd PBE relaxed; values from VASP
&SYSTEM
  ibrav = 0, nat = 11, ntyp = 3
/
ATOMIC_SPECIES
Er 167.26 Er.upf
Sb 121.76 Sb.upf
Pd 106.42 Pd.upf
ATOMIC_POSITIONS crystal
Er 0.000 0.000 0.234
Er 0.000 0.000 0.766
Er 0.214 0.214 0.351
Er 0.352 0.352 0.960
Er 0.404 0.404 0.482
Er 0.596 0.596 0.518
Er 0.648 0.648 0.040
Er 0.786 0.786 0.649
Sb 0.181 0.181 0.777
Sb 0.819 0.819 0.223
Pd 0.500 0.500 0.000
CELL_PARAMETERS angstrom
9.202 -2.343 0.000
9.202 2.343 0.000
-0.833 0.000 7.105
! **Formation energy from raw total energies**: -498 meV per atom
! **Space group**: C2/m, No. 12

No. 2
! Ti8Al2Ge PBE relaxed; values from VASP
&SYSTEM
  ibrav = 0, nat = 11, ntyp = 3
/
ATOMIC_SPECIES
Ti 47.87 Ti.upf
Al 26.98 Al.upf
Ge 72.64 Ge.upf
ATOMIC_POSITIONS crystal
Ti 0.101 0.323 0.678
Ti 0.211 0.789 0.000
Ti 0.323 0.101 0.678
Ti 0.409 0.409 0.222
Ti 0.591 0.591 0.778
Ti 0.677 0.899 0.322
Ti 0.789 0.211 0.000
Ti 0.899 0.677 0.322
Al 0.303 0.697 0.500
Al 0.697 0.303 0.500
Ge 0.000 0.000 0.000
CELL_PARAMETERS angstrom
3.564 -6.287 0.000
3.564 6.287 0.000
-2.268 0.000 4.183
! **Space group**: C2/m, No. 12
! **E**: -76.79 eV per cell

No. 3
! HoErIn4 PBE relaxed; values from VASP
&SYSTEM
  ibrav = 0, nat = 12, ntyp = 3
/
ATOMIC_SPECIES
Ho 164.93 Ho.upf
Er 167.26 Er.upf
In 114.82 In.upf
ATOMIC_POSITIONS crystal
Ho 0.000 0.000 0.000
Ho 0.000 0.500 0.500
Er 0.500 0.000 0.000
Er 0.500 0.500 0.500
In 0.237 0.000 0.666
In 0.237 0.500 0.166
In 0.266 0.000 0.333
In 0.266 0.500 0.833
In 0.734 0.000 0.333
In 0.734 0.500 0.833
In 0.763 0.000 0.666
In 0.763 0.500 0.166
CELL_PARAMETERS angstrom
6.990 0.000 0.000
0.000 4.994 0.000
0.000 0.000 8.670
! **Distance to the lowest polymorph of the same formula**: 0.0 meV/atom
! **Space group**: Amm2, No. 38

No. 4
! PmLu2Tc PBE relaxed; values from VASP
&SYSTEM
  ibrav = 0, nat = 12, ntyp = 3
/
ATOMIC_SPECIES
Pm 145.00 Pm.upf
Lu 174.97 Lu.upf
Tc 98.00 Tc.upf
ATOMIC_POSITIONS crystal
Pm 0.000 0.000 0.000
Pm 0.333 0.667 0.667
Pm 0.667 0.333 0.333
Lu 0.000 0.000 0.225
Lu 0.000 0.000 0.775
Lu 0.333 0.667 0.442
Lu 0.333 0.667 0.892
Lu 0.667 0.333 0.108
Lu 0.667 0.333 0.558
Tc 0.000 0.000 0.500
Tc 0.333 0.667 0.167
Tc 0.667 0.333 0.833
CELL_PARAMETERS angstrom
4.792 0.000 0.000
-2.396 4.150 0.000
0.000 0.000 15.101
! **Distance to the lowest polymorph of the same formula**: 204.9 meV/atom
! **Space group**: R-3m, No. 166

No. 5
! NaHgPb2 PBE relaxed; values from VASP
&SYSTEM
  ibrav = 0, nat = 16, ntyp = 3
/
ATOMIC_SPECIES
Na 22.99 Na.upf
Hg 200.59 Hg.upf
Pb 207.20 Pb.upf
ATOMIC_POSITIONS crystal
Na 0.000 0.000 0.000
Na 0.000 0.500 0.250
Na 0.500 0.000 0.750
Na 0.500 0.500 0.500
Hg 0.000 0.000 0.500
Hg 0.000 0.500 0.750
Hg 0.500 0.000 0.250
Hg 0.500 0.500 0.000
Pb 0.245 0.250 0.625
Pb 0.250 0.745 0.875
Pb 0.250 0.755 0.375
Pb 0.255 0.250 0.125
Pb 0.745 0.750 0.125
Pb 0.750 0.245 0.375
Pb 0.750 0.255 0.875
Pb 0.755 0.750 0.625
CELL_PARAMETERS angstrom
4.647 0.000 0.000
0.000 4.647 0.000
0.000 0.000 22.644
! **Space group**: I-42d, No. 122
! **E**: -36.50 eV per cell

No. 6
! LaCeTlIr PBE relaxed; values from VASP
&SYSTEM
  ibrav = 0, nat = 4, ntyp = 4
/
ATOMIC_SPECIES
La 138.91 La.upf
Ce 140.12 Ce.upf
Tl 204.38 Tl.upf
Ir 192.22 Ir.upf
ATOMIC_POSITIONS crystal
La 0.000 0.000 0.000
Ce 0.000 0.000 0.591
Tl 0.500 0.500 0.302
Ir 0.500 0.500 0.779
CELL_PARAMETERS angstrom
3.512 0.000 0.000
0.000 3.512 0.000
0.000 0.000 8.547
! **Space group**: P4mm, No. 99
! **E**: -24.13 eV per cell

No. 7
! TbPm3Al PBE relaxed; values from VASP
&SYSTEM
  ibrav = 0, nat = 10, ntyp = 3
/
ATOMIC_SPECIES
Tb 158.93 Tb.upf
Pm 145.00 Pm.upf
Al 26.98 Al.upf
ATOMIC_POSITIONS crystal
Tb 0.000 0.000 0.000
Tb 0.000 0.500 0.500
Pm 0.000 0.000 0.528
Pm 0.000 0.500 0.028
Pm 0.500 0.184 0.254
Pm 0.500 0.316 0.754
Pm 0.500 0.684 0.754
Pm 0.500 0.816 0.254
Al 0.500 0.000 0.774
Al 0.500 0.500 0.274
CELL_PARAMETERS angstrom
5.253 0.000 0.000
0.000 9.473 0.000
0.000 0.000 6.549
! **Distance to the lowest polymorph of the same formula**: 210.3 meV/atom
! **Space group**: Amm2, No. 38

No. 8
! MgRuN2 PBE relaxed; values from VASP
&SYSTEM
  ibrav = 0, nat = 16, ntyp = 3
/
ATOMIC_SPECIES
Mg 24.30 Mg.upf
Ru 101.07 Ru.upf
N 14.01 N.upf
ATOMIC_POSITIONS crystal
Mg 0.094 0.125 0.000
Mg 0.406 0.625 0.500
Mg 0.594 0.375 0.000
Mg 0.906 0.875 0.500
Ru 0.072 0.640 0.013
Ru 0.428 0.140 0.513
Ru 0.572 0.860 0.013
Ru 0.928 0.360 0.513
N 0.066 0.607 0.367
N 0.109 0.129 0.397
N 0.391 0.629 0.897
N 0.434 0.107 0.867
N 0.566 0.893 0.367
N 0.609 0.371 0.397
N 0.891 0.871 0.897
N 0.934 0.393 0.867
CELL_PARAMETERS angstrom
5.783 0.000 0.000
0.000 6.561 0.000
0.000 0.000 5.372
! **Formation energy from raw total energies**: -84 meV per atom
! **Space group**: Pna2_1, No. 33

No. 9
! AcCo3P2 PBE relaxed; values from VASP
&SYSTEM
  ibrav = 0, nat = 12, ntyp = 3
/
ATOMIC_SPECIES
Ac 227.00 Ac.upf
Co 58.93 Co.upf
P 30.97 P.upf
ATOMIC_POSITIONS crystal
Ac 0.144 0.144 0.061
Ac 0.856 0.856 0.939
Co 0.047 0.047 0.392
Co 0.313 0.313 0.553
Co 0.405 0.405 0.341
Co 0.595 0.595 0.659
Co 0.687 0.687 0.447
Co 0.953 0.953 0.608
P 0.187 0.187 0.659
P 0.473 0.473 0.759
P 0.527 0.527 0.241
P 0.813 0.813 0.341
CELL_PARAMETERS angstrom
7.224 -1.891 0.000
7.224 1.891 0.000
-3.040 0.000 6.830
! **Space group**: C2/m, No. 12
! **E**: -81.25 eV per cell

No. 10
! CsClF2 PBE relaxed; values from VASP
&SYSTEM
  ibrav = 0, nat = 16, ntyp = 3
/
ATOMIC_SPECIES
Cs 132.91 Cs.upf
Cl 35.45 Cl.upf
F 19.00 F.upf
ATOMIC_POSITIONS crystal
Cs 0.000 0.000 0.000
Cs 0.000 0.500 0.500
Cs 0.500 0.000 0.500
Cs 0.500 0.500 0.000
Cl 0.000 0.000 0.500
Cl 0.000 0.500 0.000
Cl 0.500 0.000 0.000
Cl 0.500 0.500 0.500
F 0.250 0.250 0.250
F 0.250 0.250 0.750
F 0.250 0.750 0.250
F 0.250 0.750 0.750
F 0.750 0.250 0.250
F 0.750 0.250 0.750
F 0.750 0.750 0.250
F 0.750 0.750 0.750
CELL_PARAMETERS angstrom
7.115 0.000 0.000
0.000 7.115 0.000
0.000 0.000 7.115
! **Distance to the lowest polymorph of the same formula**: 671.2 meV/atom
! **Formation energy from raw total energies**: -1051 meV per atom
! **Space group**: Fm-3m, No. 225

No. 11
! TlCoCl2 PBE relaxed; values from VASP
&SYSTEM
  ibrav = 0, nat = 8, ntyp = 3
/
ATOMIC_SPECIES
Tl 204.38 Tl.upf
Co 58.93 Co.upf
Cl 35.45 Cl.upf
ATOMIC_POSITIONS crystal
Tl 0.000 0.000 0.000
Tl 0.500 0.500 0.500
Co 0.000 0.000 0.500
Co 0.500 0.500 0.000
Cl 0.000 0.500 0.169
Cl 0.000 0.500 0.831
Cl 0.500 0.000 0.331
Cl 0.500 0.000 0.669
CELL_PARAMETERS angstrom
3.473 0.000 0.000
0.000 6.101 0.000
0.000 0.000 9.248
! **Distance to the lowest polymorph of the same formula**: 43.7 meV/atom
! **Formation energy from raw total energies**: -401 meV per atom
! **Space group**: Immm, No. 71

No. 12
! TbPr3HoEr PBE relaxed; values from VASP
&SYSTEM
  ibrav = 0, nat = 12, ntyp = 4
/
ATOMIC_SPECIES
Tb 158.93 Tb.upf
Pr 140.91 Pr.upf
Ho 164.93 Ho.upf
Er 167.26 Er.upf
ATOMIC_POSITIONS crystal
Tb 0.164 0.250 0.329
Tb 0.836 0.750 0.671
Pr 0.165 0.750 0.331
Pr 0.335 0.501 0.671
Pr 0.335 0.999 0.671
Pr 0.665 0.001 0.329
Pr 0.665 0.499 0.329
Pr 0.835 0.250 0.669
Ho 0.000 0.000 0.000
Ho 0.000 0.500 0.000
Er 0.498 0.750 0.997
Er 0.502 0.250 0.003
CELL_PARAMETERS angstrom
5.126 0.000 0.000
0.000 10.257 0.000
-2.555 0.000 7.687
! **Space group**: P2_1/m, No. 11
! **E**: -55.93 eV per cell